Entry w
Here is an optimized crystal structure of Hf2Rh2S from the Alexandria database. Energies are from GGA-PBE.

Values from the calculation:
N(E_F): 3.6 states/eV/cell

Cell lengths 7.343, 7.343, 3.293 Å; angles 90.00, 90.00, 90.00 degrees
Fractional positions:
Rh1 0.632 0.132 0.000
Rh2 0.868 0.632 0.000
S1 0.000 0.000 0.000
Rh3 0.368 0.868 0.000
Rh4 0.132 0.368 0.000
Hf1 0.665 0.835 0.500
Hf2 0.835 0.335 0.500
Hf3 0.165 0.665 0.500
Hf4 0.335 0.165 0.500
S2 0.500 0.500 0.000


Entry x
Here is an optimized crystal structure of Hf2Rh2S from the Alexandria database. Energies are from GGA-PBE.

Values from the calculation:
N(E_F): 1.1 states/eV/cell

Cell lengths 4.461, 4.461, 6.082 Å; angles 68.48, 68.48, 90.00 degrees
Fractional positions:
Rh1 0.379 0.379 0.242
Hf1 0.750 0.250 0.500
Rh2 0.621 0.621 0.758
S1 0.000 0.000 0.000
Hf2 0.250 0.750 0.500


Energy ordering: entry w at the bottom, the next structure 349 meV/atom above.


Entry w
Here is an optimized crystal structure of HfRhS3 from the Alexandria database. Energies are from GGA-PBE.

Values from the calculation:
N(E_F): 2.0 states/eV/cell

Cell lengths 4.549, 4.549, 4.549 Å; angles 90.00, 90.00, 90.00 degrees
Fractional positions:
S1 0.500 0.000 0.000
Rh1 0.000 0.000 0.000
Hf1 0.500 0.500 0.500
S2 0.000 0.500 0.000
S3 0.000 0.000 0.500


Entry x
Here is an optimized crystal structure of HfRhS3 from the Alexandria database. Energies are from GGA-PBE.

Values from the calculation:
N(E_F): 4.5 states/eV/cell

Cell lengths 4.885, 4.885, 4.885 Å; angles 90.00, 90.00, 90.00 degrees
Fractional positions:
S1 0.000 0.000 0.500
S2 0.000 0.500 0.000
Hf1 0.000 0.000 0.000
S3 0.500 0.000 0.000
Rh1 0.500 0.500 0.500


Energy ordering: entry x at the bottom, the next structure 27 meV/atom above.


Entry w
Here is an optimized crystal structure of Hf2SbRh2 from the Alexandria database. Energies are from GGA-PBE.

Values from the calculation:
N(E_F): 6.3 states/eV/cell

Cell lengths 7.575, 7.575, 3.268 Å; angles 90.00, 90.00, 90.00 degrees
Fractional positions:
Rh1 0.632 0.132 0.000
Rh2 0.132 0.368 0.000
Hf1 0.838 0.338 0.500
Sb1 0.500 0.500 0.000
Hf2 0.162 0.662 0.500
Hf3 0.338 0.162 0.500
Hf4 0.662 0.838 0.500
Sb2 0.000 0.000 0.000
Rh3 0.368 0.868 0.000
Rh4 0.868 0.632 0.000


Entry x
Here is an optimized crystal structure of Hf2SbRh2 from the Alexandria database. Energies are from GGA-PBE.

Values from the calculation:
N(E_F): 6.7 states/eV/cell

Cell lengths 7.883, 7.883, 3.139 Å; angles 90.00, 90.00, 90.00 degrees
Fractional positions:
Hf1 0.153 0.347 0.000
Rh1 0.367 0.133 0.500
Hf2 0.653 0.153 0.000
Sb1 0.500 0.500 0.000
Rh2 0.867 0.367 0.500
Hf3 0.847 0.653 0.000
Rh3 0.133 0.633 0.500
Rh4 0.633 0.867 0.500
Hf4 0.347 0.847 0.000
Sb2 0.000 0.000 0.000


Energy ordering: entry w at the bottom, the next structure 235 meV/atom above.


Entry w
Here is an optimized crystal structure of HfSb3Rh from the Alexandria database. Energies are from GGA-PBE.

Values from the calculation:
N(E_F): 2.3 states/eV/cell

Cell lengths 5.410, 5.410, 5.410 Å; angles 90.00, 90.00, 90.00 degrees
Fractional positions:
Sb1 0.000 0.000 0.500
Hf1 0.000 0.000 0.000
Rh1 0.500 0.500 0.500
Sb2 0.500 0.000 0.000
Sb3 0.000 0.500 0.000


Entry x
Here is an optimized crystal structure of HfSb3Rh from the Alexandria database. Energies are from GGA-PBE.

Values from the calculation:
N(E_F): 3.0 states/eV/cell

Cell lengths 5.102, 5.102, 5.102 Å; angles 90.00, 90.00, 90.00 degrees
Fractional positions:
Rh1 0.000 0.000 0.000
Sb1 0.500 0.000 0.000
Hf1 0.500 0.500 0.500
Sb2 0.000 0.500 0.000
Sb3 0.000 0.000 0.500


Energy ordering: entry x at the bottom, the next structure 349 meV/atom above.


Entry w
Here is an optimized crystal structure of Hf2Sc2Rh from the Alexandria database. Energies are from GGA-PBE.

Values from the calculation:
N(E_F): 10.0 states/eV/cell

Cell lengths 6.680, 6.680, 4.967 Å; angles 90.00, 90.00, 90.00 degrees
Fractional positions:
Sc1 0.161 0.661 0.500
Hf1 0.652 0.152 0.000
Sc2 0.839 0.339 0.500
Rh1 0.000 0.000 0.000
Sc3 0.661 0.839 0.500
Rh2 0.500 0.500 0.000
Hf2 0.348 0.848 0.000
Sc4 0.339 0.161 0.500
Hf3 0.848 0.652 0.000
Hf4 0.152 0.348 0.000


Entry x
Here is an optimized crystal structure of Hf2Sc2Rh from the Alexandria database. Energies are from GGA-PBE.

Values from the calculation:
N(E_F): 11.6 states/eV/cell

Cell lengths 6.572, 6.572, 4.938 Å; angles 90.00, 90.00, 90.00 degrees
Fractional positions:
Rh1 0.500 0.500 0.000
Sc1 0.152 0.348 0.000
Hf1 0.659 0.841 0.500
Sc2 0.348 0.848 0.000
Sc3 0.848 0.652 0.000
Hf2 0.159 0.659 0.500
Hf3 0.841 0.341 0.500
Hf4 0.341 0.159 0.500
Sc4 0.652 0.152 0.000
Rh2 0.000 0.000 0.000


Energy ordering: entry w at the bottom, the next structure 63 meV/atom above.


Entry w
Here is an optimized crystal structure of HfScRh2 from the Alexandria database. Energies are from GGA-PBE.

Values from the calculation:
N(E_F): 3.9 states/eV/cell

Cell lengths 7.017, 7.017, 5.803 Å; angles 52.80, 52.80, 90.00 degrees
Fractional positions:
Hf1 0.000 0.000 0.000
Rh1 0.121 0.625 0.250
Hf2 0.750 0.250 0.500
Sc1 0.500 0.500 0.000
Rh2 0.375 0.371 0.750
Rh3 0.629 0.125 0.250
Rh4 0.875 0.879 0.750
Sc2 0.250 0.750 0.500


Entry x
Here is an optimized crystal structure of HfScRh2 from the Alexandria database. Energies are from GGA-PBE.

Values from the calculation:
N(E_F): 3.7 states/eV/cell

Cell lengths 4.595, 4.595, 4.595 Å; angles 60.00, 60.00, 60.00 degrees
Fractional positions:
Rh1 0.250 0.250 0.250
Sc1 0.000 0.000 0.000
Hf1 0.500 0.500 0.500
Rh2 0.750 0.750 0.750


Energy ordering: entry x at the bottom, the next structure 463 meV/atom above.


Entry w
Here is an optimized crystal structure of HfSc2Rh2 from the Alexandria database. Energies are from GGA-PBE.

Values from the calculation:
N(E_F): 7.7 states/eV/cell

Cell lengths 7.819, 7.819, 2.977 Å; angles 90.00, 90.00, 90.00 degrees
Fractional positions:
Sc1 0.633 0.133 0.000
Rh1 0.330 0.170 0.500
Sc2 0.367 0.867 0.000
Sc3 0.867 0.633 0.000
Hf1 0.000 0.000 0.000
Hf2 0.500 0.500 0.000
Rh2 0.670 0.830 0.500
Sc4 0.133 0.367 0.000
Rh3 0.170 0.670 0.500
Rh4 0.830 0.330 0.500


Entry x
Here is an optimized crystal structure of HfSc2Rh2 from the Alexandria database. Energies are from GGA-PBE.

Values from the calculation:
N(E_F): 8.8 states/eV/cell

Cell lengths 6.985, 6.985, 3.934 Å; angles 90.00, 90.00, 90.00 degrees
Fractional positions:
Rh1 0.142 0.358 0.000
Sc1 0.667 0.833 0.500
Rh2 0.358 0.858 0.000
Hf1 0.500 0.500 0.000
Sc2 0.333 0.167 0.500
Hf2 0.000 0.000 0.000
Sc3 0.167 0.667 0.500
Rh3 0.642 0.142 0.000
Sc4 0.833 0.333 0.500
Rh4 0.858 0.642 0.000


Energy ordering: entry x at the bottom, the next structure 181 meV/atom above.


Entry w
Here is an optimized crystal structure of HfScRh from the Alexandria database. Energies are from GGA-PBE.

Values from the calculation:
N(E_F): 6.2 states/eV/cell

Cell lengths 3.283, 3.283, 11.164 Å; angles 107.11, 89.99, 90.01 degrees
Fractional positions:
Hf1 0.250 0.344 0.594
Sc1 0.750 0.357 0.107
Rh1 0.750 0.996 0.746
Rh2 0.250 0.004 0.254
Hf2 0.750 0.656 0.406
Sc2 0.250 0.643 0.893


Entry x
Here is an optimized crystal structure of HfScRh from the Alexandria database. Energies are from GGA-PBE.

Values from the calculation:
N(E_F): 4.4 states/eV/cell

Cell lengths 3.294, 3.294, 5.788 Å; angles 106.53, 106.53, 90.00 degrees
Fractional positions:
Hf1 0.314 0.314 0.627
Sc1 0.014 0.014 0.028
Rh1 0.672 0.672 0.345


Entry y
Here is an optimized crystal structure of HfScRh from the Alexandria database. Energies are from GGA-PBE.

Values from the calculation:
N(E_F): 5.8 states/eV/cell

Cell lengths 4.507, 4.507, 7.863 Å; angles 73.35, 73.35, 60.00 degrees
Fractional positions:
Hf1 0.624 0.624 0.127
Hf2 0.376 0.376 0.873
Sc1 0.874 0.874 0.378
Rh1 0.255 0.255 0.236
Sc2 0.126 0.126 0.622
Rh2 0.745 0.745 0.764


Energy ordering: entry w at the bottom, the next structure 62 meV/atom above.